{"formula": "NaGe2Ir2", "functional": "GGA-PBE", "state": "optimized geometry", "ef_ev_per_fu": -0.97, "density_g_cm3": 11.4, "vol_a3_per_cell": 161, "space_group": "P4/mbm", "de_polymorph_mev_per_atom": 153, "cell": [[7.524, 0.000, 0.000], [0.000, 7.524, 0.000], [0.000, 0.000, 2.840]], "species": ["Na", "Na", "Ge", "Ge", "Ge", "Ge", "Ir", "Ir", "Ir", "Ir"], "fractional_positions": [[0.000, 0.000, 0.000], [0.500, 0.500, 0.000], [0.150, 0.350, 0.000], [0.350, 0.850, 0.000], [0.650, 0.150, 0.000], [0.850, 0.650, 0.000], [0.144, 0.644, 0.500], [0.356, 0.144, 0.500], [0.644, 0.856, 0.500], [0.856, 0.356, 0.500]]}